# 1
First-principles (PBE) data for a relaxed structure of SmTmHg2, as listed in Alexandria.

Unit cell a=3.7318 b=3.7318 c=9.5313 alpha=78.71 beta=78.71 gamma=60.00
Closest atoms and distances in Å follow each position.
Fractional coordinates of all 4 atoms:
Hg (0.2532, 0.2532, 0.2403)  3 Tm 3.10, 3 Sm 3.23
Hg (0.0802, 0.0802, 0.7593)  3 Tm 3.11, 3 Sm 3.23
Tm (0.6665, 0.6665, 0.0005)  6 Hg 3.10-3.11
Sm (0.5000, 0.5000, 0.5000)  6 Hg 3.23

SG: No. 160
DFT formation energy in kJ/mol of formula units: -128
Total magnetization in μB per cell: 0.000



# 2
First-principles (PBE) data for a relaxed structure of SmTm6Hg2, as listed in Alexandria.

Unit cell a=3.6808 b=6.5129 c=11.5422 alpha=75.32 beta=80.82 gamma=73.59
Closest atoms and distances in Å follow each position.
Fractional coordinates of all 9 atoms:
Tm (0.6878, 0.4995, 0.1248)  2 Hg 3.18, 5 Tm 3.39-3.47
Tm (0.9861, 0.6879, 0.3399)  2 Hg 3.14, 6 Tm 3.46-3.50
Tm (0.3130, 0.7919, 0.5821)  2 Hg 3.17, 8 Tm 3.39-3.55
Tm (0.3122, 0.5005, 0.8752)  2 Hg 3.18, 5 Tm 3.39-3.47
Tm (0.0139, 0.3121, 0.6601)  2 Hg 3.14, 6 Tm 3.46-3.50
Tm (0.6870, 0.2081, 0.4178)  2 Hg 3.17, 8 Tm 3.39-3.55
Sm (0.0000, 0.0000, 0.0000)  4 Hg 3.21
Hg (0.6489, 0.9188, 0.7834)  6 Tm 3.14-3.18, 2 Sm 3.21
Hg (0.3511, 0.0812, 0.2166)  6 Tm 3.14-3.18, 2 Sm 3.21

SG: No. 12
DFT formation energy in kJ/mol of formula units: -171
Total magnetization in μB per cell: 0.000



# 3
First-principles (PBE) data for a relaxed structure of SmTm4Hg, as listed in Alexandria.

Unit cell a=3.5396 b=3.5396 c=13.9338 alpha=90.00 beta=90.00 gamma=90.00
Closest atoms and distances in Å follow each position.
Fractional coordinates of all 6 atoms:
Tm (0.0000, 0.0000, 0.6429)  4 Hg 3.20, 8 Tm 3.52-3.54
Tm (0.0000, 0.0000, 0.3571)  4 Hg 3.20, 8 Tm 3.52-3.54
Tm (0.5000, 0.5000, 0.8203)  8 Tm 3.52-3.54, 4 Sm 3.54
Tm (0.5000, 0.5000, 0.1797)  8 Tm 3.52-3.54, 4 Sm 3.54
Hg (0.5000, 0.5000, 0.5000)  8 Tm 3.20, 4 Hg 3.54
Sm (0.0000, 0.0000, 0.0000)  4 Sm 3.54, 8 Tm 3.54

SG: No. 123
DFT formation energy in kJ/mol of formula units: -81
Total magnetization in μB per cell: 0.000



# 4
First-principles (PBE) data for a relaxed structure of Sm3TmHg7, as listed in Alexandria.

Unit cell a=3.5344 b=10.9147 c=15.5190 alpha=90.00 beta=90.00 gamma=99.32
Closest atoms and distances in Å follow each position.
Fractional coordinates of all 22 atoms:
Hg (0.6231, 0.2462, 0.8438)  3 Hg 2.90-2.93, 2 Tm 3.22
Hg (0.5050, 0.0100, 0.4078)  2 Hg 2.87-2.93, 2 Tm 3.06, 2 Sm 3.19
Hg (0.2540, 0.5079, 0.4207)  3 Hg 2.90-3.04, 3 Sm 3.10-3.19
Hg (0.5050, 0.0100, 0.0922)  2 Hg 2.87-2.93, 2 Tm 3.06, 2 Sm 3.19
Hg (0.3872, 0.7743, 0.7500)  1 Sm 3.21, 2 Tm 3.33, 4 Hg 3.38-3.53
Hg (0.3769, 0.7538, 0.1562)  3 Hg 2.90-2.93, 2 Tm 3.22
Hg (0.7460, 0.4921, 0.5793)  3 Hg 2.90-3.04, 3 Sm 3.10-3.19
Hg (0.4950, 0.9900, 0.5922)  2 Hg 2.87-2.93, 2 Tm 3.06, 2 Sm 3.19
Hg (0.3769, 0.7538, 0.3438)  3 Hg 2.90-2.93, 2 Tm 3.22
Hg (0.6128, 0.2257, 0.2500)  1 Sm 3.21, 2 Tm 3.33, 4 Hg 3.38-3.53
Hg (0.2540, 0.5079, 0.0793)  3 Hg 2.90-3.04, 3 Sm 3.10-3.19
Hg (0.4950, 0.9900, 0.9078)  2 Hg 2.87-2.93, 2 Tm 3.06, 2 Sm 3.19
Hg (0.7460, 0.4921, 0.9207)  3 Hg 2.90-3.04, 3 Sm 3.10-3.19
Hg (0.6231, 0.2462, 0.6562)  3 Hg 2.90-2.93, 2 Tm 3.22
Sm (0.7618, 0.5236, 0.2500)  9 Hg 3.19-3.37, 2 Sm 3.53
Sm (0.8834, 0.7668, 0.9801)  5 Hg 3.10-3.26
Sm (0.1166, 0.2332, 0.4801)  5 Hg 3.10-3.26
Sm (0.8834, 0.7668, 0.5199)  5 Hg 3.10-3.26
Sm (0.2382, 0.4764, 0.7500)  9 Hg 3.19-3.37, 2 Sm 3.53
Sm (0.1166, 0.2332, 0.0199)  5 Hg 3.10-3.26
Tm (0.9819, 0.9639, 0.2500)  10 Hg 3.06-3.33
Tm (0.0181, 0.0361, 0.7500)  10 Hg 3.06-3.33

SG: No. 63
DFT formation energy in kJ/mol of formula units: -329
Total magnetization in μB per cell: 0.000



# 5
First-principles (PBE) data for a relaxed structure of SmTm3Hg2, as listed in Alexandria.

Unit cell a=3.6601 b=3.6601 c=12.2442 alpha=90.00 beta=90.00 gamma=90.00
Closest atoms and distances in Å follow each position.
Fractional coordinates of all 6 atoms:
Tm (0.0000, 0.0000, 0.0000)  8 Hg 3.18
Tm (0.0000, 0.0000, 0.2996)  4 Hg 3.16
Tm (0.0000, 0.0000, 0.7004)  4 Hg 3.16
Hg (0.5000, 0.5000, 0.1514)  8 Tm 3.16-3.18
Hg (0.5000, 0.5000, 0.8486)  8 Tm 3.16-3.18
Sm (0.5000, 0.5000, 0.5000)  8 Tm 3.57, 4 Sm 3.66

SG: No. 123
DFT formation energy in kJ/mol of formula units: -179
Total magnetization in μB per cell: 0.000



# 6
First-principles (PBE) data for a relaxed structure of SmTm2Hg4, as listed in Alexandria.

Unit cell a=5.1154 b=6.3777 c=6.3777 alpha=111.83 beta=90.00 gamma=90.00
Closest atoms and distances in Å follow each position.
Fractional coordinates of all 7 atoms:
Hg (0.5000, 0.0000, 0.5000)  4 Tm 3.12, 2 Sm 3.19
Hg (0.5000, 0.5000, 0.0000)  4 Tm 3.12, 2 Sm 3.19
Hg (0.0000, 0.7736, 0.7736)  4 Tm 3.06-3.32, 2 Sm 3.22, 1 Hg 3.24
Hg (0.0000, 0.2264, 0.2264)  4 Tm 3.06-3.32, 2 Sm 3.22, 1 Hg 3.24
Tm (0.0000, 0.2459, 0.7541)  8 Hg 3.06-3.32
Tm (0.0000, 0.7541, 0.2459)  8 Hg 3.06-3.32
Sm (0.5000, 0.5000, 0.5000)  8 Hg 3.19-3.22

SG: No. 65
DFT formation energy in kJ/mol of formula units: -250
Total magnetization in μB per cell: 0.000



# 7
First-principles (PBE) data for a relaxed structure of SmTm2Hg, as listed in Alexandria.

Unit cell a=3.5815 b=3.5815 c=8.8871 alpha=90.00 beta=90.00 gamma=90.00
Closest atoms and distances in Å follow each position.
Fractional coordinates of all 4 atoms:
Hg (0.5000, 0.5000, 0.0000)  8 Tm 3.19
Tm (0.0000, 0.0000, 0.2182)  4 Hg 3.19, 4 Sm 3.56
Tm (0.0000, 0.0000, 0.7818)  4 Hg 3.19, 4 Sm 3.56
Sm (0.5000, 0.5000, 0.5000)  8 Tm 3.56, 4 Sm 3.58

SG: No. 123
DFT formation energy in kJ/mol of formula units: -91
Total magnetization in μB per cell: 0.000



# 8
First-principles (PBE) data for a relaxed structure of Sm3Tm2Hg4, as listed in Alexandria.

Unit cell a=6.8630 b=7.9180 c=10.0915 alpha=90.00 beta=109.88 gamma=90.00
Closest atoms and distances in Å follow each position.
Fractional coordinates of all 18 atoms:
Hg (0.1764, 0.7500, 0.8528)  3 Sm 2.97-3.16, 2 Tm 3.19, 2 Hg 3.29
Hg (0.1592, 0.9602, 0.3184)  5 Sm 3.04-3.25, 1 Tm 3.22, 2 Hg 3.29
Hg (0.8408, 0.0398, 0.6816)  5 Sm 3.04-3.25, 1 Tm 3.22, 2 Hg 3.29
Hg (0.6764, 0.7500, 0.8528)  3 Sm 2.97-3.16, 2 Tm 3.19, 2 Hg 3.29
Hg (0.3408, 0.4602, 0.6816)  5 Sm 3.04-3.25, 1 Tm 3.22, 2 Hg 3.29
Hg (0.6592, 0.5398, 0.3184)  5 Sm 3.04-3.25, 1 Tm 3.22, 2 Hg 3.29
Hg (0.8236, 0.2500, 0.1472)  3 Sm 2.97-3.16, 2 Tm 3.19, 2 Hg 3.29
Hg (0.3236, 0.2500, 0.1472)  3 Sm 2.97-3.16, 2 Tm 3.19, 2 Hg 3.29
Tm (0.5929, 0.9142, 0.1858)  3 Hg 3.19-3.22
Tm (0.0929, 0.5858, 0.1858)  3 Hg 3.19-3.22
Tm (0.4071, 0.0858, 0.8142)  3 Hg 3.19-3.22
Tm (0.9071, 0.4142, 0.8142)  3 Hg 3.19-3.22
Sm (0.5101, 0.7500, 0.5203)  5 Hg 3.06-3.25
Sm (0.0000, 0.0000, 0.0000)  6 Hg 2.97-3.04
Sm (0.9899, 0.2500, 0.4797)  5 Hg 3.06-3.25
Sm (0.4899, 0.2500, 0.4797)  5 Hg 3.06-3.25
Sm (0.0101, 0.7500, 0.5203)  5 Hg 3.06-3.25
Sm (0.5000, 0.5000, 0.0000)  6 Hg 2.97-3.04

SG: No. 64
DFT formation energy in kJ/mol of formula units: -235
Total magnetization in μB per cell: 0.006